Here is Rb2SnI3 after structural relaxation from the Alexandria database. Energies are from PBE.

```
Rb2SnI3
1.0
-0.428 -6.888 2.466
6.944 -3.047 -7.309
3.965 5.532 5.251
Rb I Sn
4 6 2
Direct
0.330 0.915 0.660
0.670 0.085 0.340
0.670 0.585 0.340
0.330 0.415 0.660
0.143 0.072 0.286
0.143 0.572 0.286
0.857 0.428 0.714
0.857 0.928 0.714
0.497 0.250 0.000
0.503 0.750 0.000
0.998 0.250 0.000
0.002 0.750 0.000
```

Results
Mass density   3.94 Mg/m³
Energy relative to the elements, uncorrected   -911 meV per atom
E_tot   -32.11 eV per cell
Symmetry   C2/c, No. 15

***

Here is RbSnI3 after structural relaxation from the Alexandria database. Energies are from PBE.

```
RbSnI3
1.0
-8.765 -17.596 -7.078
-0.249 -9.073 0.532
-0.926 7.291 5.352
Sn I Rb
2 6 2
Direct
0.914 0.953 0.047
0.086 0.047 0.953
0.386 0.776 0.224
0.205 0.751 0.249
0.614 0.224 0.776
0.795 0.249 0.751
0.967 0.373 0.627
0.033 0.627 0.373
0.635 0.991 0.009
0.365 0.009 0.991
```

Results
Mass density   3.76 Mg/m³
Energy relative to the elements, uncorrected   -875 meV per atom
E_tot   -27.99 eV per cell
Symmetry   C2/m, No. 12

***

Here is RbSnI3 after structural relaxation from the Alexandria database. Energies are from PBE.

```
RbSnI3
1.0
4.734 0.000 0.799
0.000 8.400 0.000
-1.889 0.000 11.138
I Sn Rb
6 2 2
Direct
0.750 0.491 0.345
0.251 0.750 0.094
0.750 0.009 0.345
0.250 0.509 0.655
0.250 0.991 0.655
0.749 0.250 0.906
0.256 0.750 0.359
0.744 0.250 0.641
0.250 0.250 0.152
0.750 0.750 0.848
```

Results
Mass density   4.26 Mg/m³
Energy relative to the elements, uncorrected   -876 meV per atom
E_tot   -28.00 eV per cell
Symmetry   P2_1/m, No. 11

***

- Which of these has the lowest E_tot?
  Rb2SnI3

***

- energy relative to the elements, uncorrected of number 2 (RbSnI3)?
  -875 meV per atom